Record 1
# BaSb2Se | Alexandria via LeMat-Bulk | meta-GGA SCAN | single point on PBEsol structure
# SG: No. 216
# DFT total energy: -136.3 eV/f.u.
# Formation energy without anion corrections: -52 kJ/mol of atoms
data_BaSb2Se
_chemical_formula_sum 'Ba1 Sb2 Se1'
_cell_length_a 5.473
_cell_length_b 5.473
_cell_length_c 5.473
_cell_angle_alpha 60.00
_cell_angle_beta 60.00
_cell_angle_gamma 60.00
_symmetry_space_group_name_H-M 'P 1'
_symmetry_Int_Tables_number 1
loop_
_symmetry_equiv_pos_as_xyz
'x,y,z'
loop_
_atom_site_label
_atom_site_type_symbol
_atom_site_fract_x
_atom_site_fract_y
_atom_site_fract_z
Sb1 Sb 0.000 0.000 0.000
Sb2 Sb 0.750 0.750 0.750
Se1 Se 0.500 0.500 0.500
Ba1 Ba 0.250 0.250 0.250

Record 2
# BaSb2Se | Alexandria via LeMat-Bulk | meta-GGA SCAN | single point on PBEsol structure
# SG: No. 123
# DFT total energy: -135.6 eV/f.u.
# Formation energy without anion corrections: -34 kJ/mol of atoms
data_BaSb2Se
_chemical_formula_sum 'Ba1 Sb2 Se1'
_cell_length_a 4.306
_cell_length_b 4.306
_cell_length_c 6.375
_cell_angle_alpha 90.00
_cell_angle_beta 90.00
_cell_angle_gamma 90.00
_symmetry_space_group_name_H-M 'P 1'
_symmetry_Int_Tables_number 1
loop_
_symmetry_equiv_pos_as_xyz
'x,y,z'
loop_
_atom_site_label
_atom_site_type_symbol
_atom_site_fract_x
_atom_site_fract_y
_atom_site_fract_z
Sb1 Sb 0.000 0.000 0.217
Sb2 Sb 0.000 0.000 0.783
Se1 Se 0.500 0.500 0.000
Ba1 Ba 0.500 0.500 0.500

Record 3
# Ba4SiSb2Se11 | Alexandria via LeMat-Bulk | meta-GGA SCAN | single point on PBEsol structure
# SG: No. 36
# DFT total energy: -486.4 eV/f.u.
# Formation energy without anion corrections: -122 kJ/mol of atoms
data_Ba4SiSb2Se11
_chemical_formula_sum 'Ba8 Si2 Sb4 Se22'
_cell_length_a 8.700
_cell_length_b 9.365
_cell_length_c 13.521
_cell_angle_alpha 69.74
_cell_angle_beta 90.00
_cell_angle_gamma 90.00
_symmetry_space_group_name_H-M 'P 1'
_symmetry_Int_Tables_number 1
loop_
_symmetry_equiv_pos_as_xyz
'x,y,z'
loop_
_atom_site_label
_atom_site_type_symbol
_atom_site_fract_x
_atom_site_fract_y
_atom_site_fract_z
Se1 Se 0.985 0.993 0.014
Se2 Se 0.023 0.470 0.061
Se3 Se 0.485 0.007 0.986
Se4 Se 0.596 0.383 0.235
Se5 Se 0.890 0.555 0.891
Se6 Se 0.393 0.883 0.674
Se7 Se 0.393 0.443 0.674
Se8 Se 0.710 0.233 0.533
Se9 Se 0.096 0.617 0.765
Se10 Se 0.759 0.293 0.801
Se11 Se 0.390 0.445 0.109
Se12 Se 0.210 0.767 0.467
Se13 Se 0.523 0.530 0.939
Se14 Se 0.228 0.266 0.468
Se15 Se 0.632 0.875 0.251
Se16 Se 0.259 0.095 0.199
Se17 Se 0.893 0.557 0.326
Se18 Se 0.728 0.734 0.532
Se19 Se 0.132 0.125 0.749
Se20 Se 0.259 0.707 0.199
Se21 Se 0.759 0.905 0.801
Se22 Se 0.893 0.117 0.326
Ba1 Ba 0.498 0.544 0.419
Ba2 Ba 0.237 0.292 0.924
Ba3 Ba 0.737 0.216 0.076
Ba4 Ba 0.737 0.708 0.076
Ba5 Ba 0.998 0.456 0.581
Ba6 Ba 0.498 0.037 0.419
Ba7 Ba 0.998 0.963 0.581
Ba8 Ba 0.237 0.784 0.924
Sb1 Sb 0.570 0.648 0.705
Sb2 Sb 0.564 0.145 0.710
Sb3 Sb 0.070 0.352 0.295
Sb4 Sb 0.064 0.855 0.290
Si1 Si 0.409 0.921 0.159
Si2 Si 0.909 0.079 0.841

Record 4
# BaSi3Sb | Alexandria via LeMat-Bulk | meta-GGA SCAN | single point on PBEsol structure
# SG: No. 221
# DFT total energy: -103.3 eV/f.u.
# Formation energy without anion corrections: 69 kJ/mol of atoms
data_BaSi3Sb
_chemical_formula_sum 'Ba1 Si3 Sb1'
_cell_length_a 5.222
_cell_length_b 5.222
_cell_length_c 5.222
_cell_angle_alpha 90.00
_cell_angle_beta 90.00
_cell_angle_gamma 90.00
_symmetry_space_group_name_H-M 'P 1'
_symmetry_Int_Tables_number 1
loop_
_symmetry_equiv_pos_as_xyz
'x,y,z'
loop_
_atom_site_label
_atom_site_type_symbol
_atom_site_fract_x
_atom_site_fract_y
_atom_site_fract_z
Si1 Si 0.500 0.000 0.000
Si2 Si 0.000 0.000 0.500
Si3 Si 0.000 0.500 0.000
Sb1 Sb 0.000 0.000 0.000
Ba1 Ba 0.500 0.500 0.500

Record 5
# BaTaSb2 | Alexandria via LeMat-Bulk | meta-GGA SCAN | single point on PBEsol structure
# SG: No. 123
# DFT total energy: -179.4 eV/f.u.
# Offset from the most stable computed form: 27.65 kJ per mole of atoms
# Formation energy without anion corrections: 29 kJ/mol of atoms
data_BaTaSb2
_chemical_formula_sum 'Ba1 Ta1 Sb2'
_cell_length_a 3.203
_cell_length_b 5.697
_cell_length_c 5.697
_cell_angle_alpha 90.00
_cell_angle_beta 90.00
_cell_angle_gamma 90.00
_symmetry_space_group_name_H-M 'P 1'
_symmetry_Int_Tables_number 1
loop_
_symmetry_equiv_pos_as_xyz
'x,y,z'
loop_
_atom_site_label
_atom_site_type_symbol
_atom_site_fract_x
_atom_site_fract_y
_atom_site_fract_z
Sb1 Sb 0.000 0.500 0.000
Sb2 Sb 0.000 0.000 0.500
Ta1 Ta 0.500 0.500 0.500
Ba1 Ba 0.500 0.000 0.000

Record 6
# BaTaSb2 | Alexandria via LeMat-Bulk | meta-GGA SCAN | single point on PBEsol structure
# SG: No. 71
# DFT total energy: -180.6 eV/f.u.
# Offset from the most stable computed form: 0.00 kJ per mole of atoms
# Formation energy without anion corrections: 2 kJ/mol of atoms
data_BaTaSb2
_chemical_formula_sum 'Ba1 Ta1 Sb2'
_cell_length_a 3.623
_cell_length_b 6.237
_cell_length_c 6.237
_cell_angle_alpha 62.13
_cell_angle_beta 73.12
_cell_angle_gamma 73.12
_symmetry_space_group_name_H-M 'P 1'
_symmetry_Int_Tables_number 1
loop_
_symmetry_equiv_pos_as_xyz
'x,y,z'
loop_
_atom_site_label
_atom_site_type_symbol
_atom_site_fract_x
_atom_site_fract_y
_atom_site_fract_z
Ba1 Ba 0.000 0.500 0.500
Ta1 Ta 0.500 0.000 0.000
Sb1 Sb 0.206 0.794 0.794
Sb2 Sb 0.794 0.206 0.206

Record 7
# BaTaSb4 | Alexandria via LeMat-Bulk | meta-GGA SCAN | single point on PBEsol structure
# SG: No. 216
# DFT total energy: -252.3 eV/f.u.
# Formation energy without anion corrections: 47 kJ/mol of atoms
data_BaTaSb4
_chemical_formula_sum 'Ba1 Ta1 Sb4'
_cell_length_a 6.220
_cell_length_b 6.220
_cell_length_c 6.220
_cell_angle_alpha 60.00
_cell_angle_beta 60.00
_cell_angle_gamma 60.00
_symmetry_space_group_name_H-M 'P 1'
_symmetry_Int_Tables_number 1
loop_
_symmetry_equiv_pos_as_xyz
'x,y,z'
loop_
_atom_site_label
_atom_site_type_symbol
_atom_site_fract_x
_atom_site_fract_y
_atom_site_fract_z
Sb1 Sb 0.377 0.377 0.870
Sb2 Sb 0.377 0.377 0.377
Sb3 Sb 0.870 0.377 0.377
Sb4 Sb 0.377 0.870 0.377
Ta1 Ta 0.750 0.750 0.750
Ba1 Ba 0.000 0.000 0.000

Record 8
# BaTa2Sb2 | Alexandria via LeMat-Bulk | meta-GGA SCAN | single point on PBEsol structure
# SG: No. 139
# DFT total energy: -247.1 eV/f.u.
# Formation energy without anion corrections: 2 kJ/mol of atoms
data_BaTa2Sb2
_chemical_formula_sum 'Ba1 Ta2 Sb2'
_cell_length_a 5.303
_cell_length_b 5.987
_cell_length_c 5.303
_cell_angle_alpha 63.72
_cell_angle_beta 90.00
_cell_angle_gamma 116.28
_symmetry_space_group_name_H-M 'P 1'
_symmetry_Int_Tables_number 1
loop_
_symmetry_equiv_pos_as_xyz
'x,y,z'
loop_
_atom_site_label
_atom_site_type_symbol
_atom_site_fract_x
_atom_site_fract_y
_atom_site_fract_z
Ba1 Ba 0.000 0.000 0.000
Ta1 Ta 0.633 0.265 0.367
Ta2 Ta 0.367 0.735 0.633
Sb1 Sb 0.750 0.500 0.750
Sb2 Sb 0.250 0.500 0.250

Record 9
# Ba3TaSb | Alexandria via LeMat-Bulk | meta-GGA SCAN | single point on PBEsol structure
# SG: No. 221
# DFT total energy: -219.5 eV/f.u.
# Formation energy without anion corrections: 58 kJ/mol of atoms
data_Ba3TaSb
_chemical_formula_sum 'Ba3 Ta1 Sb1'
_cell_length_a 5.816
_cell_length_b 5.816
_cell_length_c 5.816
_cell_angle_alpha 90.00
_cell_angle_beta 90.00
_cell_angle_gamma 90.00
_symmetry_space_group_name_H-M 'P 1'
_symmetry_Int_Tables_number 1
loop_
_symmetry_equiv_pos_as_xyz
'x,y,z'
loop_
_atom_site_label
_atom_site_type_symbol
_atom_site_fract_x
_atom_site_fract_y
_atom_site_fract_z
Ba1 Ba 0.000 0.000 0.500
Ba2 Ba 0.000 0.500 0.000
Ba3 Ba 0.500 0.000 0.000
Ta1 Ta 0.000 0.000 0.000
Sb1 Sb 0.500 0.500 0.500

Record 10
# BaTa3Sb | Alexandria via LeMat-Bulk | meta-GGA SCAN | single point on PBEsol structure
# SG: No. 221
# DFT total energy: -261.5 eV/f.u.
# Formation energy without anion corrections: 290 kJ/mol of atoms
data_BaTa3Sb
_chemical_formula_sum 'Ba1 Ta3 Sb1'
_cell_length_a 5.051
_cell_length_b 5.051
_cell_length_c 5.051
_cell_angle_alpha 90.00
_cell_angle_beta 90.00
_cell_angle_gamma 90.00
_symmetry_space_group_name_H-M 'P 1'
_symmetry_Int_Tables_number 1
loop_
_symmetry_equiv_pos_as_xyz
'x,y,z'
loop_
_atom_site_label
_atom_site_type_symbol
_atom_site_fract_x
_atom_site_fract_y
_atom_site_fract_z
Sb1 Sb 0.500 0.500 0.500
Ta1 Ta 0.000 0.500 0.000
Ta2 Ta 0.000 0.000 0.500
Ta3 Ta 0.500 0.000 0.000
Ba1 Ba 0.000 0.000 0.000

Record 11
# BaTcSb | Alexandria via LeMat-Bulk | meta-GGA SCAN | single point on PBEsol structure
# SG: No. 107
# DFT total energy: -111.9 eV/f.u.
# Formation energy without anion corrections: -1 kJ/mol of atoms
data_BaTcSb
_chemical_formula_sum 'Ba1 Tc1 Sb1'
_cell_length_a 3.485
_cell_length_b 3.485
_cell_length_c 6.614
_cell_angle_alpha 105.28
_cell_angle_beta 105.28
_cell_angle_gamma 90.00
_symmetry_space_group_name_H-M 'P 1'
_symmetry_Int_Tables_number 1
loop_
_symmetry_equiv_pos_as_xyz
'x,y,z'
loop_
_atom_site_label
_atom_site_type_symbol
_atom_site_fract_x
_atom_site_fract_y
_atom_site_fract_z
Sb1 Sb 0.290 0.290 0.581
Tc1 Tc 0.701 0.701 0.402
Ba1 Ba 0.009 0.009 0.017

Record 12
# BaTc2Sb | Alexandria via LeMat-Bulk | meta-GGA SCAN | single point on PBEsol structure
# SG: No. 166
# DFT total energy: -146.8 eV/f.u.
# Formation energy without anion corrections: 4 kJ/mol of atoms
data_BaTc2Sb
_chemical_formula_sum 'Ba1 Tc2 Sb1'
_cell_length_a 4.571
_cell_length_b 4.571
_cell_length_c 6.491
_cell_angle_alpha 69.38
_cell_angle_beta 69.38
_cell_angle_gamma 60.00
_symmetry_space_group_name_H-M 'P 1'
_symmetry_Int_Tables_number 1
loop_
_symmetry_equiv_pos_as_xyz
'x,y,z'
loop_
_atom_site_label
_atom_site_type_symbol
_atom_site_fract_x
_atom_site_fract_y
_atom_site_fract_z
Sb1 Sb 0.000 0.000 0.000
Tc1 Tc 0.324 0.324 0.027
Tc2 Tc 0.676 0.676 0.973
Ba1 Ba 0.500 0.500 0.500

What is the formation energy without anion corrections in the fifth record? 29 kJ/mol of atoms